{
  "formula": "Sc2MnInC",
  "functional": "PBE",
  "state": "optimized geometry",
  "formation_energy_ev_per_fu": -2.13,
  "total_energy_ev_per_atom": -7.1854,
  "dos_ef_per_ev_atom": 0.403,
  "spacegroup": "No. 123",
  "lattice_angstrom": [[-1.982, -2.611, -3.254], [4.029, -2.134, -0.742], [-0.889, -2.587, 2.617]],
  "species": ["Sc", "Sc", "C", "Mn", "In"],
  "fractional_positions": [[0.000, 0.500, 0.000], [0.500, 0.000, 0.000], [0.000, 0.000, 0.000], [0.000, 0.000, 0.500], [0.500, 0.500, 0.500]]
}